{"formula": "CaTlAgHg2", "functional": "PBE-GGA", "state": "optimized geometry", "lattice": [[5.819, 0.000, 0.000], [0.000, 5.819, 0.000], [0.000, 0.000, 6.188]], "species": ["Ca", "Tl", "Ag", "Hg", "Hg"], "frac_coords": [[0.000, 0.000, 0.000], [0.000, 0.000, 0.500], [0.500, 0.500, 0.500], [0.000, 0.500, 0.000], [0.500, 0.000, 0.000]], "sg": "No. 123", "magnetic_moment_mub_per_fu": 0.000, "final_energy_ev_per_atom": -1.093, "e_form_mev_per_atom": 471}